The following is a PBE calculation of crystalline SmHg2Au2 at its relaxed geometry, from Alexandria via LeMat-Bulk.

```
SmHg2Au2
1.0
-1.420 -0.720 -3.864
1.976 -3.682 -0.042
-5.819 -0.727 4.607
Hg Au Sm
2 2 1
direct
0.251 0.749 0.500
0.749 0.251 0.500
0.595 0.595 0.197
0.405 0.405 0.803
0.000 0.000 0.000
```

Summary:
* Fermi-level density of states: 1.73 states/eV/f.u.
* total magnetic moment: 0.00 Bohr magnetons per cell
* DFT formation energy: -0.37 eV per atom
* DFT total energy: -2.742 eV per atom


The following is a PBE calculation of crystalline Sm2HgAu at its relaxed geometry, from Alexandria via LeMat-Bulk.

```
Sm2HgAu
1.0
3.733 0.000 0.000
0.000 3.733 0.000
0.000 0.000 7.473
Sm Au Hg
2 1 1
direct
0.000 0.000 0.761
0.000 0.000 0.239
0.500 0.500 0.000
0.500 0.500 0.500
```

Summary:
* Fermi-level density of states: 3.22 states/eV/f.u.
* total magnetic moment: 0.00 Bohr magnetons per cell
* DFT formation energy: -0.63 eV per atom
* offset from the most stable computed form: 0 meV/atom
* DFT total energy: -3.889 eV per atom


The following is a PBE calculation of crystalline Sm2HgAu at its relaxed geometry, from Alexandria via LeMat-Bulk.

```
Sm2HgAu
1.0
4.043 0.000 0.000
2.022 3.502 0.000
2.022 1.167 8.238
Sm Hg Au
2 1 1
direct
0.257 0.257 0.230
0.743 0.743 0.770
0.500 0.500 0.500
0.000 0.000 0.000
```

Summary:
* Fermi-level density of states: 4.71 states/eV/f.u.
* total magnetic moment: 0.00 Bohr magnetons per cell
* DFT formation energy: -0.50 eV per atom
* offset from the most stable computed form: 139 meV/atom
* DFT total energy: -3.750 eV per atom


The following is a PBE calculation of crystalline SmHg4Au at its relaxed geometry, from Alexandria via LeMat-Bulk.

```
SmHg4Au
1.0
4.760 0.000 -2.192
0.000 7.005 0.000
-4.150 0.000 10.571
Hg Sm Au
8 2 2
direct
0.384 0.986 0.325
0.616 0.486 0.675
0.843 0.750 0.297
0.384 0.514 0.325
0.963 0.750 0.975
0.616 0.014 0.675
0.157 0.250 0.703
0.037 0.250 0.025
0.912 0.250 0.341
0.088 0.750 0.659
0.500 0.000 0.000
0.500 0.500 0.000
```

Summary:
* Fermi-level density of states: 3.01 states/eV/f.u.
* total magnetic moment: 0.00 Bohr magnetons per cell
* DFT formation energy: -0.22 eV per atom
* offset from the most stable computed form: 62 meV/atom
* DFT total energy: -1.754 eV per atom


The following is a PBE calculation of crystalline Sm4Hg3Au at its relaxed geometry, from Alexandria via LeMat-Bulk.

```
Sm4Hg3Au
1.0
3.757 0.000 0.000
0.000 3.757 0.000
0.000 0.000 15.109
Sm Au Hg
4 1 3
direct
0.000 0.000 0.117
0.000 0.000 0.628
0.000 0.000 0.883
0.000 0.000 0.372
0.500 0.500 0.000
0.500 0.500 0.500
0.500 0.500 0.248
0.500 0.500 0.752
```

Summary:
* Fermi-level density of states: 7.19 states/eV/f.u.
* total magnetic moment: 0.51 Bohr magnetons per cell
* DFT formation energy: -0.55 eV per atom
* DFT total energy: -3.437 eV per atom


The following is a PBE calculation of crystalline Sm5Hg4Au at its relaxed geometry, from Alexandria via LeMat-Bulk.

```
Sm5Hg4Au
1.0
-1.987 -0.208 -3.189
-3.188 -0.138 1.996
-1.141 18.871 -0.518
Sm Hg Au
5 4 1
direct
0.500 0.500 0.500
0.500 0.500 0.297
0.500 0.500 0.703
0.500 0.500 0.093
0.500 0.500 0.907
0.000 0.000 0.398
0.000 0.000 0.802
0.000 0.000 0.602
0.000 0.000 0.198
0.000 0.000 0.000
```

Summary:
* Fermi-level density of states: 10.37 states/eV/f.u.
* total magnetic moment: 0.99 Bohr magnetons per cell
* DFT formation energy: -0.54 eV per atom
* DFT total energy: -3.345 eV per atom


The following is a PBE calculation of crystalline Sm12Hg6Au at its relaxed geometry, from Alexandria via LeMat-Bulk.

```
Sm12Hg6Au
1.0
8.815 -0.086 -0.103
-1.422 8.700 -0.103
-1.422 -1.656 8.542
Au Sm Hg
1 12 6
direct
0.000 0.000 0.000
0.933 0.047 0.680
0.320 0.067 0.953
0.680 0.933 0.047
0.573 0.183 0.429
0.427 0.817 0.571
0.429 0.573 0.183
0.817 0.571 0.427
0.047 0.680 0.933
0.183 0.429 0.573
0.067 0.953 0.320
0.571 0.427 0.817
0.953 0.320 0.067
0.135 0.623 0.306
0.694 0.865 0.377
0.623 0.306 0.135
0.865 0.377 0.694
0.377 0.694 0.865
0.306 0.135 0.623
```

Summary:
* Fermi-level density of states: 26.63 states/eV/f.u.
* total magnetic moment: 0.00 Bohr magnetons per cell
* DFT formation energy: -0.13 eV per atom
* DFT total energy: -3.375 eV per atom


The following is a PBE calculation of crystalline Sm4Hg2Au at its relaxed geometry, from Alexandria via LeMat-Bulk.

```
Sm4Hg2Au
1.0
5.007 0.000 1.564
2.259 4.468 1.564
-0.099 -0.061 9.111
Sm Au Hg
4 1 2
direct
0.626 0.626 0.122
0.877 0.877 0.370
0.374 0.374 0.878
0.123 0.123 0.630
0.000 0.000 0.000
0.245 0.245 0.266
0.755 0.755 0.734
```

Summary:
* Fermi-level density of states: 7.92 states/eV/f.u.
* total magnetic moment: 0.00 Bohr magnetons per cell
* DFT formation energy: -0.40 eV per atom
* DFT total energy: -3.654 eV per atom


The following is a PBE calculation of crystalline Sm4HgAu7 at its relaxed geometry, from Alexandria via LeMat-Bulk.

```
Sm4HgAu7
1.0
5.239 0.000 0.000
2.620 8.152 0.880
2.620 0.831 7.065
Hg Au Sm
1 7 4
direct
0.000 0.000 0.000
0.500 0.000 0.000
0.084 0.644 0.188
0.814 0.950 0.422
0.186 0.050 0.578
0.674 0.451 0.201
0.326 0.549 0.799
0.916 0.356 0.812
0.433 0.749 0.385
0.567 0.251 0.615
0.735 0.722 0.808
0.265 0.278 0.192
```

Summary:
* Fermi-level density of states: 7.65 states/eV/f.u.
* total magnetic moment: 0.00 Bohr magnetons per cell
* DFT formation energy: -0.59 eV per atom
* DFT total energy: -4.099 eV per atom


The following is a PBE calculation of crystalline Sm2HgAu4 at its relaxed geometry, from Alexandria via LeMat-Bulk.

```
Sm2HgAu4
1.0
4.844 0.000 1.514
2.186 4.323 1.514
0.230 0.142 7.773
Au Sm Hg
4 2 1
direct
0.133 0.133 0.601
0.421 0.421 0.737
0.867 0.867 0.399
0.579 0.579 0.263
0.730 0.730 0.809
0.270 0.270 0.191
0.000 0.000 0.000
```

Summary:
* Fermi-level density of states: 3.45 states/eV/f.u.
* total magnetic moment: 0.00 Bohr magnetons per cell
* DFT formation energy: -0.56 eV per atom
* DFT total energy: -3.822 eV per atom


The following is a PBE calculation of crystalline Sm4HgAu2 at its relaxed geometry, from Alexandria via LeMat-Bulk.

```
Sm4HgAu2
1.0
4.957 0.000 1.549
2.237 4.424 1.549
-0.072 -0.044 8.939
Hg Au Sm
1 2 4
direct
0.000 0.000 0.000
0.248 0.248 0.255
0.752 0.752 0.745
0.872 0.872 0.384
0.128 0.128 0.616
0.380 0.380 0.861
0.620 0.620 0.139
```

Summary:
* Fermi-level density of states: 9.22 states/eV/f.u.
* total magnetic moment: 0.00 Bohr magnetons per cell
* DFT formation energy: -0.52 eV per atom
* offset from the most stable computed form: 0 meV/atom
* DFT total energy: -4.195 eV per atom


The following is a PBE calculation of crystalline Sm2Hg3Au2 at its relaxed geometry, from Alexandria via LeMat-Bulk.

```
Sm2Hg3Au2
1.0
-1.359 3.257 1.088
-0.649 -1.682 4.222
9.790 3.897 0.561
Sm Au Hg
2 2 3
direct
0.000 0.164 0.329
0.000 0.836 0.671
0.500 0.289 0.579
0.500 0.711 0.421
0.500 0.428 0.857
0.000 0.000 0.000
0.500 0.572 0.143
```

Summary:
* Fermi-level density of states: 3.85 states/eV/f.u.
* total magnetic moment: 0.00 Bohr magnetons per cell
* DFT formation energy: -0.51 eV per atom
* DFT total energy: -2.925 eV per atom